TiPd2Au: optimized geometry, PBE.

CIF file:
```
data_TiPd2Au
_chemical_formula_sum 'Ti4 Pd8 Au4'
_cell_length_a 6.366
_cell_length_b 6.366
_cell_length_c 6.366
_cell_angle_alpha 90.00
_cell_angle_beta 90.00
_cell_angle_gamma 90.00
_space_group_name_H-M_alt 'F m -3 m'
_space_group_IT_number 225
_space_group_name_Hall '-F 4 2 3'
loop_
_atom_site_label
_atom_site_type_symbol
_atom_site_fract_x
_atom_site_fract_y
_atom_site_fract_z
_atom_site_occupancy
Ti1 Ti 0.000 0.000 0.000 1
Pd1 Pd 0.250 0.250 0.250 1
Au1 Au 0.000 0.000 0.500 1
```

Summary:
energy relative to the elements: -40.8 kJ/mol of atoms

Ti4Pd7Au: optimized geometry, PBE.

CIF file:
```
data_Ti4Pd7Au
_chemical_formula_sum 'Ti8 Pd14 Au2'
_cell_length_a 10.574
_cell_length_b 4.884
_cell_length_c 9.246
_cell_angle_alpha 90.00
_cell_angle_beta 119.95
_cell_angle_gamma 90.00
_space_group_name_H-M_alt 'C 1 2/m 1'
_space_group_IT_number 12
loop_
_space_group_symop_operation_xyz
'x,y,z'
'-x,-y,-z'
'-x,y,-z'
'x,-y,z'
'x+1/2,y+1/2,z'
'-x+1/2,-y+1/2,-z'
'-x+1/2,y+1/2,-z'
'x+1/2,-y+1/2,z'
loop_
_atom_site_label
_atom_site_type_symbol
_atom_site_fract_x
_atom_site_fract_y
_atom_site_fract_z
_atom_site_occupancy
Ti1 Ti 0.086 0.000 0.277 1
Ti2 Ti 0.248 0.000 0.834 1
Pd1 Pd 0.000 0.000 0.500 1
Pd2 Pd 0.071 0.500 0.844 1
Pd3 Pd 0.140 0.000 0.039 1
Pd4 Pd 0.211 0.500 0.409 1
Au1 Au 0.000 0.500 0.500 1
```

Summary:
energy relative to the elements: -22.4 kJ/mol of atoms

TiPd12Au7: optimized geometry, PBE.

CIF file:
```
data_TiPd12Au7
_chemical_formula_sum 'Ti3 Pd36 Au21'
_cell_length_a 9.6537
_cell_length_b 9.6537
_cell_length_c 13.7272
_cell_angle_alpha 90.00
_cell_angle_beta 90.00
_cell_angle_gamma 120.00
_space_group_name_H-M_alt 'R -3'
_space_group_IT_number 148
_space_group_name_Hall '-R 3'
loop_
_atom_site_label
_atom_site_type_symbol
_atom_site_fract_x
_atom_site_fract_y
_atom_site_fract_z
_atom_site_occupancy
Ti1 Ti 0.0000 0.0000 0.0000 1
Pd1 Pd 0.0365 0.4379 0.7049 1
Pd2 Pd 0.0541 0.8680 0.3470 1
Au1 Au 0.0000 0.0000 0.5000 1
Au2 Au 0.0328 0.1897 0.8386 1
```

Summary:
energy relative to the elements: 10.5 kJ/mol of atoms

Copy entry 2 word for word.
Ti4Pd7Au: optimized geometry, PBE.

CIF file:
```
data_Ti4Pd7Au
_chemical_formula_sum 'Ti8 Pd14 Au2'
_cell_length_a 10.574
_cell_length_b 4.884
_cell_length_c 9.246
_cell_angle_alpha 90.00
_cell_angle_beta 119.95
_cell_angle_gamma 90.00
_space_group_name_H-M_alt 'C 1 2/m 1'
_space_group_IT_number 12
loop_
_space_group_symop_operation_xyz
'x,y,z'
'-x,-y,-z'
'-x,y,-z'
'x,-y,z'
'x+1/2,y+1/2,z'
'-x+1/2,-y+1/2,-z'
'-x+1/2,y+1/2,-z'
'x+1/2,-y+1/2,z'
loop_
_atom_site_label
_atom_site_type_symbol
_atom_site_fract_x
_atom_site_fract_y
_atom_site_fract_z
_atom_site_occupancy
Ti1 Ti 0.086 0.000 0.277 1
Ti2 Ti 0.248 0.000 0.834 1
Pd1 Pd 0.000 0.000 0.500 1
Pd2 Pd 0.071 0.500 0.844 1
Pd3 Pd 0.140 0.000 0.039 1
Pd4 Pd 0.211 0.500 0.409 1
Au1 Au 0.000 0.500 0.500 1
```

Summary:
energy relative to the elements: -22.4 kJ/mol of atoms

Question: Which of these has the highest energy relative to the elements?
Answer: TiPd12Au7

Question: Number 1 is which compound?
Answer: TiPd2Au

Question: Among the records above, which one has the lowest energy relative to the elements?
Answer: TiPd2Au